(1)
DFT (PBE-GGA) results for a relaxed structure of UTl2Cl5F.

Geometry as extended XYZ:
```
9
Lattice="-3.790 3.790 5.189 3.790 -3.790 5.189 3.790 3.790 -5.189" Properties=species:S:1:pos:R:3 pbc="T T T"
U 0.000 0.000 0.000
Tl 3.790 0.000 3.200
Tl 0.000 3.790 3.200
Cl 1.880 1.880 -0.105
Cl 1.910 -1.910 5.084
Cl -1.910 1.910 5.084
Cl 1.910 1.910 5.084
Cl 0.000 0.000 7.782
F 0.000 0.000 2.067
```

Output
Calculated volume, Å³ per atom: 33.12
Electronic total energy, eV/atom: -4.685
Space-group type: I4mm
Formation energy without anion corrections, eV/atom: -1.67

(2)
DFT (PBE-GGA) results for a relaxed structure of CaAcTl2.

Geometry as extended XYZ:
```
4
Lattice="4.000 0.000 0.000 0.000 4.000 0.000 0.000 0.000 8.068" Properties=species:S:1:pos:R:3 pbc="T T T"
Ca 0.000 0.000 0.000
Ac 0.000 0.000 4.034
Tl 2.000 2.000 1.843
Tl 2.000 2.000 6.225
```

Output
Calculated volume, Å³ per atom: 32.28
Electronic total energy, eV/atom: -3.114
ΔE_f, eV/f.u.: -1.61
Space-group type: P4/mmm

(3)
DFT (PBE-GGA) results for a relaxed structure of TiBiPtO6.

Geometry as extended XYZ:
```
18
Lattice="4.816 0.000 0.000 0.000 4.816 0.000 0.000 0.000 9.735" Properties=species:S:1:pos:R:3 pbc="T T T"
Ti 0.000 0.000 0.000
Ti 2.408 2.408 4.868
Bi 0.000 0.000 6.535
Bi 2.408 2.408 1.667
Pt 0.000 0.000 3.305
Pt 2.408 2.408 8.173
O 0.828 0.828 1.635
O 0.978 0.978 4.787
O 0.981 0.981 8.343
O 1.427 3.389 3.476
O 1.430 3.386 9.655
O 1.580 3.236 6.503
O 3.236 1.580 6.503
O 3.386 1.430 9.655
O 3.389 1.427 3.476
O 3.835 3.835 8.343
O 3.838 3.838 4.787
O 3.988 3.988 1.635
```

Output
Calculated volume, Å³ per atom: 12.54
Electronic total energy, eV/atom: -6.717
Space-group type: P4_2nm
Formation energy without anion corrections, eV/atom: -1.43

(4)
DFT (PBE-GGA) results for a relaxed structure of NaCaRu2.

Geometry as extended XYZ:
```
4
Lattice="2.026 1.170 7.545 -2.026 1.170 7.545 0.000 -2.340 7.545" Properties=species:S:1:pos:R:3 pbc="T T T"
Na 0.000 0.000 0.000
Ca 0.000 0.000 18.424
Ru 0.000 0.000 5.629
Ru 0.000 0.000 12.674
```

Output
Calculated volume, Å³ per atom: 26.83
Electronic total energy, eV/atom: -5.120
ΔE_f, eV/f.u.: 1.39
Space-group type: R3m

(5)
DFT (PBE-GGA) results for a relaxed structure of Er4Tm3Co4.

Geometry as extended XYZ:
```
11
Lattice="-1.769 4.352 7.694 1.769 -4.352 7.694 1.769 4.352 -7.694" Properties=species:S:1:pos:R:3 pbc="T T T"
Er 1.769 -2.737 5.150
Er 0.000 1.615 2.544
Er 1.769 2.737 5.150
Er 0.000 7.089 2.544
Tm 1.769 0.000 0.000
Tm 0.000 0.000 6.102
Tm 0.000 0.000 9.287
Co 1.769 0.000 3.884
Co 0.000 2.495 0.000
Co 0.000 6.209 0.000
Co 0.000 4.352 3.810
```

Output
Calculated volume, Å³ per atom: 21.55
Electronic total energy, eV/atom: -5.598
ΔE_f, eV/f.u.: -1.49
Space-group type: Immm

(6)
DFT (PBE-GGA) results for a relaxed structure of Sr2CoCSe.

Geometry as extended XYZ:
```
5
Lattice="5.464 0.000 0.000 0.000 5.464 0.000 0.000 0.000 3.684" Properties=species:S:1:pos:R:3 pbc="T T T"
Sr 0.000 2.732 0.000
Sr 2.732 0.000 0.000
Co 0.000 0.000 1.842
C 0.000 0.000 0.000
Se 2.732 2.732 1.842
```

Output
Calculated volume, Å³ per atom: 22.00
Electronic total energy, eV/atom: -5.161
Space-group type: P4/mmm
Formation energy without anion corrections, eV/atom: -0.53

(7)
DFT (PBE-GGA) results for a relaxed structure of Ac4Pr5Er2.

Geometry as extended XYZ:
```
11
Lattice="11.779 -1.877 0.000 11.779 1.877 0.000 -2.970 0.000 9.823" Properties=species:S:1:pos:R:3 pbc="T T T"
Ac 0.499 0.000 1.888
Ac 8.925 0.000 0.978
Ac 11.664 0.000 8.846
Ac 20.089 0.000 7.936
Pr 1.482 0.000 5.667
Pr 3.970 0.000 3.408
Pr 10.294 0.000 4.912
Pr 16.619 0.000 6.416
Pr 19.107 0.000 4.156
Er 3.001 0.000 8.523
Er 17.588 0.000 1.301
```

Output
Calculated volume, Å³ per atom: 39.49
Electronic total energy, eV/atom: -4.323
ΔE_f, eV/f.u.: 1.91
Space-group type: C2/m

(8)
DFT (PBE-GGA) results for a relaxed structure of RbTaCu2Se4.

Geometry as extended XYZ:
```
8
Lattice="-3.013 4.356 4.646 3.013 -4.356 4.646 3.013 4.356 -4.646" Properties=species:S:1:pos:R:3 pbc="T T T"
Rb 0.000 0.000 0.000
Ta 0.000 0.000 4.646
Cu 3.013 0.000 3.427
Cu 0.000 4.356 1.220
Se 1.741 2.870 -1.467
Se 1.271 -1.485 6.114
Se 1.271 1.485 3.179
Se 1.741 5.841 1.467
```

Output
Calculated volume, Å³ per atom: 30.48
Electronic total energy, eV/atom: -4.972
Space-group type: I222
Formation energy without anion corrections, eV/atom: -0.60

(9)
DFT (PBE-GGA) results for a relaxed structure of SrTcB.

Geometry as extended XYZ:
```
6
Lattice="4.075 0.000 0.000 0.000 4.075 0.000 0.000 0.000 8.935" Properties=species:S:1:pos:R:3 pbc="T T T"
Sr 1.019 1.019 1.905
Sr 3.056 3.056 7.029
Tc 1.019 3.056 4.467
Tc 3.056 1.019 4.467
B 1.019 1.019 5.127
B 3.056 3.056 3.808
```

Output
Calculated volume, Å³ per atom: 24.72
Electronic total energy, eV/atom: -6.354
ΔE_f, eV/f.u.: -0.34
Space-group type: P4/nmm

(10)
DFT (PBE-GGA) results for a relaxed structure of Li7Cd4Ge.

Geometry as extended XYZ:
```
12
Lattice="6.873 -2.467 0.000 6.873 2.467 0.000 -3.487 0.000 6.674" Properties=species:S:1:pos:R:3 pbc="T T T"
Li 0.000 0.000 0.000
Li 1.314 0.000 5.291
Li 3.577 0.000 0.993
Li 3.843 0.000 4.022
Li 6.417 0.000 2.652
Li 6.683 0.000 5.680
Li 8.946 0.000 1.383
Cd -1.405 0.000 4.814
Cd 1.021 0.000 2.607
Cd 9.239 0.000 4.067
Cd 11.665 0.000 1.860
Ge 6.873 0.000 0.000
```

Output
Calculated volume, Å³ per atom: 18.86
Electronic total energy, eV/atom: -1.942
ΔE_f, eV/f.u.: -1.63
Space-group type: C2/m

(11)
DFT (PBE-GGA) results for a relaxed structure of ThCd3Cu8.

Geometry as extended XYZ:
```
12
Lattice="2.547 1.470 8.460 -2.547 1.470 8.460 0.000 -2.941 8.460" Properties=species:S:1:pos:R:3 pbc="T T T"
Th 0.000 0.000 0.000
Cd 0.000 0.000 9.802
Cd 0.000 0.000 12.791
Cd 0.000 0.000 22.118
Cu 0.000 0.000 4.774
Cu 0.000 -1.470 15.299
Cu -1.273 0.735 15.299
Cu -1.270 -0.733 19.626
Cu 0.000 0.000 17.507
Cu 1.273 0.735 15.299
Cu 1.270 -0.733 19.626
Cu 0.000 1.467 19.626
```

Output
Calculated volume, Å³ per atom: 15.84
Electronic total energy, eV/atom: -3.647
ΔE_f, eV/f.u.: -0.84
Space-group type: R3m

(12)
DFT (PBE-GGA) results for a relaxed structure of Be2MoP.

Geometry as extended XYZ:
```
4
Lattice="3.619 0.000 0.000 0.000 3.619 0.000 0.000 0.000 3.371" Properties=species:S:1:pos:R:3 pbc="T T T"
Be 0.000 1.809 0.000
Be 1.809 0.000 0.000
Mo 0.000 0.000 1.686
P 1.809 1.809 1.686
```

Output
Calculated volume, Å³ per atom: 11.04
Electronic total energy, eV/atom: -5.938
ΔE_f, eV/f.u.: -0.06
Space-group type: P4/mmm